[1]
CeMnPdRh | PBE | optimized geometry

Output
E_tot (eV/atom): -7.274
Symmetry: F-43m, No. 216
Volume (Å³/atom): 18.47
Energy of formation (meV/atom): -362

a b c (Å): 4.710 4.710 4.710
angles (deg): 60.00 60.00 60.00
Element x y z (fractional)
Mn (0.750, 0.750, 0.750)
Rh (0.500, 0.500, 0.500)
Pd (0.000, 0.000, 0.000)
Ce (0.250, 0.250, 0.250)

=====

[2]
Ce2MnPdSe5 | PBE | optimized geometry

Output
E_tot (eV/atom): -6.021
Symmetry: Cmc2_1, No. 36
Volume (Å³/atom): 23.02
Formation energy (no corrections) (kcal/mol of atoms): -27.0

a b c (Å): 4.063 8.871 11.812
angles (deg): 90.00 90.00 103.24
Element x y z (fractional)
Ce (0.880, 0.761, 0.830)
Ce (0.127, 0.254, 0.684)
Ce (0.120, 0.239, 0.330)
Ce (0.873, 0.746, 0.184)
Mn (0.578, 0.156, 0.947)
Mn (0.422, 0.844, 0.447)
Pd (0.855, 0.710, 0.569)
Pd (0.145, 0.290, 0.069)
Se (0.338, 0.676, 0.004)
Se (0.697, 0.394, 0.837)
Se (0.506, 0.011, 0.763)
Se (0.305, 0.610, 0.674)
Se (0.994, 0.988, 0.516)
Se (0.662, 0.324, 0.504)
Se (0.303, 0.606, 0.337)
Se (0.494, 0.989, 0.263)
Se (0.695, 0.390, 0.174)
Se (0.006, 0.012, 0.016)

=====

[3]
Ce2Mn3Si4Pd | PBE | optimized geometry

Output
E_tot (eV/atom): -7.260
Symmetry: P-4m2, No. 115
Volume (Å³/atom): 16.63
Formation energy (no corrections) (kcal/mol of atoms): -14.6

a b c (Å): 4.009 4.009 10.344
angles (deg): 90.00 90.00 90.00
Element x y z (fractional)
Ce (0.500, 0.000, 0.744)
Ce (0.000, 0.500, 0.256)
Mn (0.000, 0.000, 0.500)
Mn (0.000, 0.000, 0.000)
Mn (0.500, 0.500, 0.500)
Si (0.000, 0.500, 0.861)
Si (0.500, 0.000, 0.373)
Si (0.500, 0.000, 0.139)
Si (0.000, 0.500, 0.627)
Pd (0.500, 0.500, 0.000)

=====

[4]
Ce2MnZn2Pd5 | PBE | optimized geometry

Output
E_tot (eV/atom): -5.440
Symmetry: P4/mbm, No. 127
Volume (Å³/atom): 18.17
Energy of formation (meV/atom): -485

a b c (Å): 3.757 9.835 9.835
angles (deg): 90.00 90.00 90.00
Element x y z (fractional)
Ce (0.000, 0.678, 0.178)
Ce (0.000, 0.322, 0.822)
Ce (0.000, 0.178, 0.322)
Ce (0.000, 0.822, 0.678)
Mn (0.000, 0.000, 0.000)
Mn (0.000, 0.500, 0.500)
Zn (0.000, 0.121, 0.621)
Zn (0.000, 0.879, 0.379)
Zn (0.000, 0.621, 0.879)
Zn (0.000, 0.379, 0.121)
Pd (0.500, 0.202, 0.062)
Pd (0.500, 0.798, 0.938)
Pd (0.500, 0.062, 0.798)
Pd (0.500, 0.702, 0.438)
Pd (0.500, 0.938, 0.202)
Pd (0.500, 0.298, 0.562)
Pd (0.500, 0.562, 0.702)
Pd (0.500, 0.438, 0.298)
Pd (0.500, 0.500, 0.000)
Pd (0.500, 0.000, 0.500)

=====

[5]
CePmMn | PBE | optimized geometry

Output
E_tot (eV/atom): -6.520
Symmetry: C2/m, No. 12
Volume (Å³/atom): 25.25
Energy of formation (meV/atom): 98

a b c (Å): 3.652 7.795 10.645
angles (deg): 90.99 90.00 90.00
Element x y z (fractional)
Pm (0.500, 0.699, 0.898)
Pm (0.000, 0.199, 0.398)
Pm (0.000, 0.801, 0.602)
Pm (0.500, 0.301, 0.102)
Mn (0.000, 0.393, 0.887)
Mn (0.000, 0.607, 0.113)
Mn (0.500, 0.893, 0.387)
Mn (0.500, 0.107, 0.613)
Ce (0.000, 0.129, 0.842)
Ce (0.500, 0.629, 0.342)
Ce (0.500, 0.371, 0.658)
Ce (0.000, 0.871, 0.158)

=====

[6]
Ce3PmMn | PBE | optimized geometry

Output
E_tot (eV/atom): -6.187
Symmetry: Pm-3m, No. 221
Volume (Å³/atom): 27.77
Energy of formation (meV/atom): 157

a b c (Å): 5.178 5.178 5.178
angles (deg): 90.00 90.00 90.00
Element x y z (fractional)
Mn (0.000, 0.000, 0.000)
Ce (0.000, 0.500, 0.000)
Ce (0.000, 0.000, 0.500)
Ce (0.500, 0.000, 0.000)
Pm (0.500, 0.500, 0.500)

=====

[7]
Ce2PmMn | PBE | optimized geometry

Output
E_tot (eV/atom): -6.245
Symmetry: R3m, No. 160
Volume (Å³/atom): 27.02
Distance to the lowest polymorph of the same formula (meV/atom): 2.7
Energy of formation (meV/atom): 202

a b c (Å): 3.835 3.835 8.768
angles (deg): 77.37 77.37 60.00
Element x y z (fractional)
Ce (0.059, 0.059, 0.823)
Ce (0.285, 0.285, 0.146)
Pm (0.509, 0.509, 0.473)
Mn (0.647, 0.647, 0.058)

=====

[8]
Ce2PmMn | PBE | optimized geometry

Output
E_tot (eV/atom): -6.248
Symmetry: P4/mmm, No. 123
Volume (Å³/atom): 25.85
Distance to the lowest polymorph of the same formula (meV/atom): 0.0
Energy of formation (meV/atom): 199

a b c (Å): 3.461 3.461 8.630
angles (deg): 90.00 90.00 90.00
Element x y z (fractional)
Mn (0.500, 0.500, 0.000)
Ce (0.000, 0.000, 0.808)
Ce (0.000, 0.000, 0.192)
Pm (0.500, 0.500, 0.500)

=====

[9]
CePmMnZn | PBE | optimized geometry

Output
E_tot (eV/atom): -5.248
Symmetry: F-43m, No. 216
Volume (Å³/atom): 23.42
Energy of formation (meV/atom): 34

a b c (Å): 5.098 5.098 5.098
angles (deg): 60.00 60.00 60.00
Element x y z (fractional)
Zn (0.000, 0.000, 0.000)
Mn (0.500, 0.500, 0.500)
Ce (0.750, 0.750, 0.750)
Pm (0.250, 0.250, 0.250)

=====

[10]
Ce2MnPt | PBE | optimized geometry

Output
E_tot (eV/atom): -7.099
Symmetry: P4/mmm, No. 123
Volume (Å³/atom): 22.09
Energy of formation (meV/atom): -329

a b c (Å): 3.374 5.118 5.118
angles (deg): 90.00 90.00 90.00
Element x y z (fractional)
Mn (0.500, 0.000, 0.000)
Ce (0.000, 0.000, 0.500)
Ce (0.000, 0.500, 0.000)
Pt (0.500, 0.500, 0.500)

=====

[11]
Ce3MnPt12 | PBE | optimized geometry

Output
E_tot (eV/atom): -7.032
Symmetry: P4/mmm, No. 123
Volume (Å³/atom): 17.42
Energy of formation (meV/atom): -816

a b c (Å): 4.129 4.129 16.346
angles (deg): 90.00 90.00 90.00
Element x y z (fractional)
Ce (0.000, 0.000, 0.241)
Ce (0.000, 0.000, 0.500)
Ce (0.000, 0.000, 0.759)
Mn (0.000, 0.000, 0.000)
Pt (0.500, 0.500, 0.000)
Pt (0.500, 0.500, 0.243)
Pt (0.500, 0.500, 0.500)
Pt (0.500, 0.500, 0.757)
Pt (0.500, 0.000, 0.116)
Pt (0.500, 0.000, 0.371)
Pt (0.500, 0.000, 0.629)
Pt (0.500, 0.000, 0.884)
Pt (0.000, 0.500, 0.116)
Pt (0.000, 0.500, 0.371)
Pt (0.000, 0.500, 0.629)
Pt (0.000, 0.500, 0.884)

=====

[12]
CeMn2Si2Pt7 | PBE | optimized geometry

Output
E_tot (eV/atom): -6.992
Symmetry: C2/m, No. 12
Volume (Å³/atom): 16.99
Formation energy (no corrections) (kcal/mol of atoms): -12.5

a b c (Å): 3.985 3.985 14.704
angles (deg): 69.60 69.60 88.70
Element x y z (fractional)
Ce (0.000, 0.000, 0.000)
Mn (0.580, 0.580, 0.346)
Mn (0.420, 0.420, 0.654)
Si (0.860, 0.860, 0.710)
Si (0.140, 0.140, 0.290)
Pt (0.500, 0.500, 0.000)
Pt (0.188, 0.188, 0.538)
Pt (0.812, 0.812, 0.462)
Pt (0.776, 0.276, 0.181)
Pt (0.276, 0.776, 0.181)
Pt (0.724, 0.224, 0.819)
Pt (0.224, 0.724, 0.819)